No. 1
The following is a GGA-PBE calculation of a geometry-optimized Cs2NbP structure, from Alexandria.

Values from the calculation:
For the total energy, the calculation gives -47.4 eV per cell.

abc: 8.0271 8.0271 8.0271
angles: 90.00 90.00 90.00
With the nearest neighbours (Å) after each atom.
Space group Fm-3m (No. 225)
One atom of each set of equivalent atoms:
Cs: 0.2500 0.2500 0.2500 (multiplicity 8)  4 P 3.48, 4 Nb 3.48
Nb: 0.0000 0.0000 0.0000 (multiplicity 4)  8 Cs 3.48
P: 0.0000 0.0000 0.5000 (multiplicity 4)  8 Cs 3.48

---

No. 2
The following is a GGA-PBE calculation of a geometry-optimized Pm3TeSe3 structure, from Alexandria.

Values from the calculation:
The uncorrected formation energy is -1.714 eV per atom.

abc: 9.0096 9.0096 17.7861
angles: 90.00 90.00 120.00
With the nearest neighbours (Å) after each atom.
Space group R-3 (No. 148, hexagonal axes)
One atom of each set of equivalent atoms:
Pm: 0.0041 0.6376 0.4195 (multiplicity 18)  5 Se 2.92-3.16, 2 Te 3.18-3.24
Te: 0.0000 0.0000 0.1667 (multiplicity 6)  6 Pm 3.18-3.24
Se: 0.0062 0.7172 0.5896 (multiplicity 18)  5 Pm 2.92-3.16

---

No. 3
The following is a GGA-PBE calculation of a geometry-optimized MgAlSe structure, from Alexandria.

Values from the calculation:
The uncorrected formation energy is -0.023 eV per atom.

abc: 6.6614 6.6614 6.6614
angles: 90.00 90.00 90.00
With the nearest neighbours (Å) after each atom.
Space group F-43m (No. 216)
One atom of each set of equivalent atoms:
Mg: 0.0000 0.0000 0.0000 (multiplicity 4)  4 Se 2.88, 4 Al 2.88
Al: 0.2500 0.2500 0.2500 (multiplicity 4)  4 Mg 2.88
Se: 0.2500 0.2500 0.7500 (multiplicity 4)  4 Mg 2.88

---

Number 1: magnetic moment 4.00 μB/f.u., Fermi-level density of states 11.5 states/eV per cell. Number 2: magnetic moment 0.00 μB/f.u., Fermi-level density of states 16.0 states/eV per cell. Number 3: magnetic moment 0.00 μB/f.u., Fermi-level density of states 7.0 states/eV per cell.